A relaxed Mn4CdF10 crystal, computed with PBE+U.

abc: 15.3506 15.3506 15.3506
angles: 14.06 14.06 14.06
Last column: nearest neighbours and their distance in Å.
Sites, in units of the cell vectors:
Mn (0.0977, 0.0977, 0.0977)  8 F 2.24-2.30
Mn (0.3008, 0.3008, 0.3008)  8 F 2.22-2.29
Mn (0.6992, 0.6992, 0.6992)  8 F 2.22-2.29
Mn (0.9023, 0.9023, 0.9023)  8 F 2.24-2.30
Cd (0.5000, 0.5000, 0.5000)  8 F 2.34-2.42
F (0.0485, 0.0485, 0.0485)  4 Mn 2.24-2.29
F (0.1477, 0.1477, 0.1477)  1 Mn 2.28, 3 Cd 2.34
F (0.2522, 0.2522, 0.2522)  4 Mn 2.22-2.30
F (0.3495, 0.3495, 0.3495)  4 Mn 2.22-2.29
F (0.4470, 0.4470, 0.4470)  3 Mn 2.29, 1 Cd 2.42
F (0.5530, 0.5530, 0.5530)  3 Mn 2.29, 1 Cd 2.42
F (0.6505, 0.6505, 0.6505)  4 Mn 2.22-2.29
F (0.7478, 0.7478, 0.7478)  4 Mn 2.22-2.30
F (0.8523, 0.8523, 0.8523)  1 Mn 2.28, 3 Cd 2.34
F (0.9515, 0.9515, 0.9515)  4 Mn 2.24-2.29

Output
Spin magnetization (μB/f.u.): 20.00
VASP energy (eV per atom): -5.85
Symmetry: R-3m, No. 166